! PBE-GGA Ac7Y2Ho2, optimized geometry; values from VASP
&SYSTEM
  ibrav = 0, nat = 11, ntyp = 3
/
ATOMIC_SPECIES
Ac 227.00 Ac.upf
Y 88.91 Y.upf
Ho 164.93 Ho.upf
CELL_PARAMETERS angstrom
5.4957 0.0447 -2.5821
-0.0222 10.3105 0.1417
-2.3709 0.0581 9.2324
ATOMIC_POSITIONS angstrom
Ac 2.7481 3.1765 -1.2382
Ac -1.1885 6.8388 4.7328
Ac 0.3544 7.2367 8.0303
Ac 4.2910 3.5744 2.0593
Ac 1.5289 1.8094 3.2868
Ac 0.0000 0.0000 0.0000
Ac 1.5736 8.6039 3.5052
Y -0.4923 0.0753 6.0869
Y 3.5949 10.3380 0.7052
Ho 2.2901 5.1698 4.9633
Ho 0.8125 5.2435 1.8287
! - ρ: 7569 kg/m3
! - ΔH_f (0 K): 4.55 kcal/mol of atoms


! PBE-GGA Y3ZrW, optimized geometry; values from VASP
&SYSTEM
  ibrav = 0, nat = 5, ntyp = 3
/
ATOMIC_SPECIES
Y 88.91 Y.upf
Zr 91.22 Zr.upf
W 183.84 W.upf
CELL_PARAMETERS angstrom
-4.5579 1.1234 2.6496
0.8695 -4.1934 3.2735
2.7434 3.1953 3.3646
ATOMIC_POSITIONS angstrom
Y 0.4347 -2.0967 1.6368
Y 1.3717 1.5977 1.6823
Y -2.2790 0.5617 1.3248
Zr -0.4725 0.0626 4.6439
W 0.0000 0.0000 0.0000
! - ρ: 5744 kg/m3
! - ΔH_f (0 K): 19.48 kcal/mol of atoms